(1)
First-principles (PBE) data for ZrAgP2O after structural relaxation, as listed in Alexandria via LeMat-Bulk.

**M_tot**: 0.0 μB/f.u.
**Energy relative to the elements, uncorrected**: -0.2600 eV/atom
**Relative energy among the computed polymorphs**: 0.0 meV/atom
**Theoretical density**: 4245 kg/m³
**V**: 21.7 Å³ per atom

a b c (Å): 5.2333 5.2333 3.9568
angles (deg): 90.00 90.00 90.00
Closest atoms and distances in Å follow each position.
Positions (direct):
Ag 0.5000 0.5000 0.5000  8 P 3.28
P 0.0000 0.5000 0.0000  2 Zr 2.62
P 0.5000 0.0000 0.0000  2 Zr 2.62
O 0.0000 0.0000 0.5000  2 Zr 1.98
Zr 0.0000 0.0000 0.0000  2 O 1.98

---

(2)
First-principles (PBE) data for CuBiI2N after structural relaxation, as listed in Alexandria via LeMat-Bulk.

**M_tot**: 1.9 μB/f.u.
**Energy relative to the elements, uncorrected**: 0.6789 eV/atom
**Relative energy among the computed polymorphs**: 0.0 meV/atom
**Theoretical density**: 7124 kg/m³
**V**: 25.2 Å³ per atom

a b c (Å): 5.8162 5.8162 3.7231
angles (deg): 90.00 90.00 90.00
Closest atoms and distances in Å follow each position.
Positions (direct):
Bi 0.5000 0.5000 0.5000  8 I 3.45, 2 Bi 3.72
I 0.0000 0.5000 0.0000  2 Cu 2.91
I 0.5000 0.0000 0.0000  2 Cu 2.91
N 0.0000 0.0000 0.5000  2 Cu 1.86
Cu 0.0000 0.0000 0.0000  2 N 1.86

---

(3)
First-principles (PBE) data for KPaIr2O8 after structural relaxation, as listed in Alexandria via LeMat-Bulk.

**M_tot**: 0.0 μB/f.u.
**Energy relative to the elements, uncorrected**: -1.3655 eV/atom
**Theoretical density**: 5701 kg/m³
**V**: 19.0 Å³ per atom

a b c (Å): 5.8233 5.8233 7.7620
angles (deg): 90.00 90.00 120.00
Closest atoms and distances in Å follow each position.
Positions (direct):
Ir 0.3333 0.6667 0.7876  4 O 1.76-1.90
Ir 0.6667 0.3333 0.2124  4 O 1.76-1.90
O 0.8566 0.6619 0.3302  1 Ir 1.90
O 0.1434 0.3381 0.6698  1 Ir 1.90
O 0.3381 0.1947 0.3302  1 Ir 1.90
O 0.6619 0.8053 0.6698  1 Ir 1.90
O 0.6667 0.3333 0.9859  1 Ir 1.76
O 0.3333 0.6667 0.0141  1 Ir 1.76
O 0.8053 0.1434 0.3302  1 Ir 1.90
O 0.1947 0.8566 0.6698  1 Ir 1.90
Pa 0.0000 0.0000 0.5000  6 O 2.16
K 0.0000 0.0000 0.0000  12 O 3.08-3.36

---

(4)
First-principles (PBE) data for SrZnPb2 after structural relaxation, as listed in Alexandria via LeMat-Bulk.

**Energy of formation**: -174 meV/atom
**M_tot**: 0.0 μB/f.u.
**Theoretical density**: 7952 kg/m³
**V**: 29.6 Å³ per atom

a b c (Å): 6.2358 6.2358 6.2358
angles (deg): 137.10 133.24 65.32
Closest atoms and distances in Å follow each position.
Positions (direct):
Sr 0.7500 0.2500 0.5000  4 Zn 3.36, 8 Pb 3.52-3.57
Pb 0.4884 0.4884 0.0000  4 Pb 3.37, 4 Zn 3.39-3.70, 4 Sr 3.52-3.57
Pb 0.0116 0.0116 0.0000  4 Pb 3.37, 4 Zn 3.39-3.70, 4 Sr 3.52-3.57
Zn 0.2500 0.7500 0.5000  4 Sr 3.36, 8 Pb 3.39-3.70

---

(5)
First-principles (PBE) data for AlTlGa3 after structural relaxation, as listed in Alexandria via LeMat-Bulk.

**Energy of formation**: 270 meV/atom
**M_tot**: 0.0 μB/f.u.
**Relative energy among the computed polymorphs**: 0.0 meV/atom
**Theoretical density**: 5739 kg/m³
**V**: 25.5 Å³ per atom

a b c (Å): 5.0327 5.0327 5.0327
angles (deg): 90.00 90.00 90.00
Closest atoms and distances in Å follow each position.
Positions (direct):
Ga 0.0000 0.5000 0.0000  2 Al 2.52
Ga 0.5000 0.0000 0.0000  2 Al 2.52
Ga 0.0000 0.0000 0.5000  2 Al 2.52
Tl 0.5000 0.5000 0.5000  12 Ga 3.56
Al 0.0000 0.0000 0.0000  6 Ga 2.52

---

(6)
First-principles (PBE) data for TlP2Se after structural relaxation, as listed in Alexandria via LeMat-Bulk.

**M_tot**: 0.0 μB/f.u.
**Energy relative to the elements, uncorrected**: 0.4081 eV/atom
**Relative energy among the computed polymorphs**: 341.8 meV/atom
**Theoretical density**: 6190 kg/m³
**V**: 23.2 Å³ per atom

a b c (Å): 3.7758 3.7758 6.4972
angles (deg): 90.00 90.00 90.00
Closest atoms and distances in Å follow each position.
Positions (direct):
P 0.0000 0.0000 0.4128  1 P 2.12
P 0.0000 0.0000 0.0872  1 P 2.12
Se 0.5000 0.5000 0.2500  8 P 2.87
Tl 0.5000 0.5000 0.7500  2 Se 3.25, 8 P 3.45

---

(7)
First-principles (PBE) data for U4P3H4 after structural relaxation, as listed in Alexandria via LeMat-Bulk.

**E**: -7.3275 eV per atom
**M_tot**: 10.0 μB/f.u.
**Theoretical density**: 11191 kg/m³
**V**: 14.2 Å³ per atom

a b c (Å): 5.8695 5.8695 5.8695
angles (deg): 109.47 109.47 109.47
Closest atoms and distances in Å follow each position.
Positions (direct):
U 0.0000 0.5917 0.0000  4 H 2.19-2.31
U 0.4083 0.4083 0.4083  4 H 2.19-2.31
U 0.0000 0.0000 0.5917  4 H 2.19-2.31
U 0.5917 0.0000 0.0000  4 H 2.19-2.31
P 0.0000 0.5000 0.5000  4 U 2.80, 4 H 2.85
P 0.5000 0.5000 0.0000  4 U 2.80, 4 H 2.85
P 0.5000 0.0000 0.5000  4 U 2.80, 4 H 2.85
H 0.2185 0.0000 0.0000  3 H 2.09, 4 U 2.19-2.31
H 0.0000 0.2185 0.0000  3 H 2.09, 4 U 2.19-2.31
H 0.0000 0.0000 0.2185  3 H 2.09, 4 U 2.19-2.31
H 0.7815 0.7815 0.7815  3 H 2.09, 4 U 2.19-2.31

---

(8)
First-principles (PBE) data for P4IrCl after structural relaxation, as listed in Alexandria via LeMat-Bulk.

**M_tot**: 1.1 μB/f.u.
**Energy relative to the elements, uncorrected**: 0.9287 eV/atom
**Theoretical density**: 5635 kg/m³
**V**: 17.3 Å³ per atom

a b c (Å): 5.2718 5.2718 5.2718
angles (deg): 60.00 60.00 60.00
Closest atoms and distances in Å follow each position.
Positions (direct):
P 0.3922 0.3922 0.8233  3 P 2.27
P 0.3922 0.8233 0.3922  3 P 2.27
P 0.3922 0.3922 0.3922  3 P 2.27
P 0.8233 0.3922 0.3922  3 P 2.27
Cl 0.7500 0.7500 0.7500  12 P 3.06, 4 Ir 3.23
Ir 0.0000 0.0000 0.0000  12 P 3.14, 4 Cl 3.23

---

(9)
First-principles (PBE) data for Ac2Tb2TmHg5 after structural relaxation, as listed in Alexandria via LeMat-Bulk.

**Energy of formation**: -346 meV/atom
**M_tot**: 0.6 μB/f.u.
**Theoretical density**: 10931 kg/m³
**V**: 29.5 Å³ per atom

a b c (Å): 3.9485 12.2296 12.2296
angles (deg): 90.00 90.00 90.00
Closest atoms and distances in Å follow each position.
Positions (direct):
Ac 0.0000 0.8287 0.6713  3 Tb 3.40-3.74, 6 Hg 3.56-3.61
Ac 0.0000 0.1713 0.3287  3 Tb 3.40-3.74, 6 Hg 3.56-3.61
Ac 0.0000 0.6713 0.1713  3 Tb 3.40-3.74, 6 Hg 3.56-3.61
Ac 0.0000 0.3287 0.8287  3 Tb 3.40-3.74, 6 Hg 3.56-3.61
Hg 0.5000 0.1766 0.0818  2 Tm 3.09, 2 Tb 3.12, 2 Hg 3.37
Hg 0.5000 0.0000 0.5000  4 Tb 3.02
Hg 0.5000 0.4182 0.3234  2 Tm 3.09, 2 Tb 3.12, 2 Hg 3.37
Hg 0.5000 0.5818 0.6766  2 Tm 3.09, 2 Tb 3.12, 2 Hg 3.37
Hg 0.5000 0.0818 0.8234  2 Tm 3.09, 2 Tb 3.12, 2 Hg 3.37
Hg 0.5000 0.8234 0.9182  2 Tm 3.09, 2 Tb 3.12, 2 Hg 3.37
Hg 0.5000 0.5000 0.0000  4 Tb 3.02
Hg 0.5000 0.3234 0.5818  2 Tm 3.09, 2 Tb 3.12, 2 Hg 3.37
Hg 0.5000 0.9182 0.1766  2 Tm 3.09, 2 Tb 3.12, 2 Hg 3.37
Hg 0.5000 0.6766 0.4182  2 Tm 3.09, 2 Tb 3.12, 2 Hg 3.37
Tm 0.0000 0.5000 0.5000  8 Hg 3.09
Tm 0.0000 0.0000 0.0000  8 Hg 3.09
Tb 0.0000 0.6322 0.8678  6 Hg 3.02-3.12
Tb 0.0000 0.8678 0.3678  6 Hg 3.02-3.12
Tb 0.0000 0.3678 0.1322  6 Hg 3.02-3.12
Tb 0.0000 0.1322 0.6322  6 Hg 3.02-3.12

---

(10)
First-principles (PBE) data for AcZn3Rh2 after structural relaxation, as listed in Alexandria via LeMat-Bulk.

**Energy of formation**: -443 meV/atom
**M_tot**: 0.0 μB/f.u.
**Relative energy among the computed polymorphs**: 64.8 meV/atom
**Theoretical density**: 9074 kg/m³
**V**: 19.2 Å³ per atom

a b c (Å): 4.1028 8.1108 8.0279
angles (deg): 116.08 90.00 104.65
Closest atoms and distances in Å follow each position.
Positions (direct):
Ac 0.8521 0.7042 0.9347  7 Rh 3.12-3.49, 1 Zn 3.42
Ac 0.1479 0.2958 0.0653  7 Rh 3.12-3.49, 1 Zn 3.42
Zn 0.3153 0.6305 0.5398  4 Rh 2.58-2.67, 3 Zn 2.67-2.76
Zn 0.4063 0.8126 0.3289  3 Rh 2.56-2.59, 3 Zn 2.67-2.81
Zn 0.5937 0.1874 0.6711  3 Rh 2.56-2.59, 3 Zn 2.67-2.81
Zn 0.0376 0.0752 0.3778  3 Rh 2.55-2.59, 3 Zn 2.71-2.81
Zn 0.6847 0.3695 0.4602  4 Rh 2.58-2.67, 3 Zn 2.67-2.76
Zn 0.9624 0.9248 0.6222  3 Rh 2.55-2.59, 3 Zn 2.71-2.81
Rh 0.1976 0.3952 0.6836  6 Zn 2.58-2.67
Rh 0.8024 0.6048 0.3164  6 Zn 2.58-2.67
Rh 0.4831 0.9662 0.8265  4 Zn 2.55-2.59, 1 Rh 2.59
Rh 0.5169 0.0338 0.1735  4 Zn 2.55-2.59, 1 Rh 2.59

---

(11)
First-principles (PBE) data for Ca2GaCuAu6 after structural relaxation, as listed in Alexandria via LeMat-Bulk.

**Energy of formation**: -262 meV/atom
**M_tot**: 0.0 μB/f.u.
**Theoretical density**: 9859 kg/m³
**V**: 23.5 Å³ per atom

a b c (Å): 6.9266 6.9266 6.9266
angles (deg): 60.00 60.00 90.00
Closest atoms and distances in Å follow each position.
Positions (direct):
Au 0.7516 0.7516 0.4968  1 Cu 2.43, 1 Ga 2.46
Au 0.2484 0.7516 0.0000  1 Cu 2.43, 1 Ga 2.46
Au 0.7516 0.7516 0.0000  1 Cu 2.43, 1 Ga 2.46
Au 0.7516 0.2484 0.0000  1 Cu 2.43, 1 Ga 2.46
Au 0.2484 0.2484 0.5032  1 Cu 2.43, 1 Ga 2.46
Au 0.2484 0.2484 0.0000  1 Cu 2.43, 1 Ga 2.46
Ca 0.2500 0.7500 0.5000  12 Au 3.46
Ca 0.7500 0.2500 0.5000  12 Au 3.46
Ga 0.5000 0.5000 0.0000  6 Au 2.46
Cu 0.0000 0.0000 0.0000  6 Au 2.43

---

(12)
First-principles (PBE) data for TlTe2W after structural relaxation, as listed in Alexandria via LeMat-Bulk.

**M_tot**: 0.0 μB/f.u.
**Energy relative to the elements, uncorrected**: 0.7442 eV/atom
**Relative energy among the computed polymorphs**: 638.1 meV/atom
**Theoretical density**: 11519 kg/m³
**V**: 23.2 Å³ per atom

a b c (Å): 5.0810 5.0810 5.0810
angles (deg): 60.00 60.00 60.00
Closest atoms and distances in Å follow each position.
Positions (direct):
Te 0.2500 0.2500 0.2500  4 Tl 3.11, 4 W 3.11
Te 0.7500 0.7500 0.7500  4 Tl 3.11, 4 W 3.11
Tl 0.5000 0.5000 0.5000  8 Te 3.11
W 0.0000 0.0000 0.0000  8 Te 3.11